# 1
La3Y: optimized geometry, PBEsol.

a = 5.8510 Å, b = 6.3142 Å, c = 7.2984 Å
α = 90.00°, β = 90.00°, γ = 90.00°
Sites, in units of the cell vectors:
Y1 0.0000 0.6642 0.0000
Y2 0.5000 0.3358 0.5000
La1 0.5000 0.3313 0.0000
La2 0.0000 0.6687 0.5000
La3 0.0000 0.1657 0.7480
La4 0.0000 0.1657 0.2520
La5 0.5000 0.8343 0.2480
La6 0.5000 0.8343 0.7520

Space group: Pmmn
Calculated formation energy (kJ/mol of atoms): 4.0
Magnetic moment (μB/f.u.): 0.00
Uncorrected energy (eV/atom): -5.6743


# 2
LaPrCr2O6: optimized geometry, PBEsol.

a = 5.4511 Å, b = 5.4747 Å, c = 7.7062 Å
α = 90.00°, β = 90.00°, γ = 90.00°
Sites, in units of the cell vectors:
La1 0.2433 0.4654 0.5000
La2 0.7567 0.9654 0.5000
Pr1 0.2590 0.5408 0.0000
Pr2 0.7410 0.0408 0.0000
Cr1 0.7507 0.5006 0.7510
Cr2 0.2493 0.0006 0.2490
Cr3 0.7507 0.5006 0.2490
Cr4 0.2493 0.0006 0.7510
O1 0.1720 0.9846 0.0000
O2 0.8280 0.4846 0.0000
O3 0.3232 0.0130 0.5000
O4 0.6768 0.5130 0.5000
O5 0.0370 0.7131 0.2884
O6 0.9630 0.2131 0.7116
O7 0.4657 0.2845 0.7930
O8 0.5343 0.7845 0.2070
O9 0.4657 0.2845 0.2070
O10 0.5343 0.7845 0.7930
O11 0.0370 0.7131 0.7116
O12 0.9630 0.2131 0.2884

Space group: Pmc2_1
Magnetic moment (μB/f.u.): 6.00
Uncorrected energy (eV/atom): -9.0156


# 3
HfGePCl2: optimized geometry, PBEsol.

a = 4.7822 Å, b = 4.7822 Å, c = 5.1547 Å
α = 90.00°, β = 90.00°, γ = 90.00°
Sites, in units of the cell vectors:
P1 0.0000 0.0000 0.5000
Ge1 0.5000 0.5000 0.5000
Hf1 0.0000 0.0000 0.0000
Cl1 0.0000 0.5000 0.0000
Cl2 0.5000 0.0000 0.0000

Space group: P4/mmm
Magnetic moment (μB/f.u.): 0.70
Uncorrected energy (eV/atom): -5.3882


# 4
K2CrAgRu: optimized geometry, PBEsol.

a = 4.3739 Å, b = 6.0810 Å, c = 6.0810 Å
α = 90.00°, β = 90.00°, γ = 90.00°
Sites, in units of the cell vectors:
Ru1 0.0000 0.0000 0.0000
K1 0.0000 0.0000 0.5000
K2 0.0000 0.5000 0.0000
Ag1 0.5000 0.5000 0.5000
Cr1 0.5000 0.0000 0.0000

Space group: P4/mmm
Calculated formation energy (kJ/mol of atoms): 123.0
Magnetic moment (μB/f.u.): 2.93
Uncorrected energy (eV/atom): -3.9238


# 5
FeCuTc2: optimized geometry, PBEsol.

a = 2.5517 Å, b = 2.5517 Å, c = 8.2608 Å
α = 90.00°, β = 90.00°, γ = 106.93°
Sites, in units of the cell vectors:
Cu1 0.0000 0.0000 0.4893
Fe1 0.5000 0.5000 0.2540
Tc1 0.0000 0.0000 0.0103
Tc2 0.5000 0.5000 0.7464

Space group: Cmm2
Calculated formation energy (kJ/mol of atoms): 24.8
Magnetic moment (μB/f.u.): 2.59
Energy above the lowest structure with this stoichiometry (kJ/mol of atoms): 6.02
Uncorrected energy (eV/atom): -8.7009


# 6
ScMnPd3: optimized geometry, PBEsol.

a = 4.5559 Å, b = 4.5559 Å, c = 4.5559 Å
α = 90.00°, β = 90.00°, γ = 90.00°
Sites, in units of the cell vectors:
Sc1 0.5000 0.5000 0.5000
Mn1 0.0000 0.0000 0.0000
Pd1 0.0000 0.5000 0.0000
Pd2 0.0000 0.0000 0.5000
Pd3 0.5000 0.0000 0.0000

Space group: Pm-3m
Calculated formation energy (kJ/mol of atoms): 33.0
Magnetic moment (μB/f.u.): 4.13
Uncorrected energy (eV/atom): -6.5062


# 7
ZnSbOs: optimized geometry, PBEsol.

a = 3.0909 Å, b = 3.0909 Å, c = 6.3943 Å
α = 90.00°, β = 90.00°, γ = 120.00°
Sites, in units of the cell vectors:
Os1 0.0000 0.0000 0.0029
Sb1 0.3333 0.6667 0.6952
Zn1 0.6667 0.3333 0.3018

Space group: P3m1
Magnetic moment (μB/f.u.): 0.00
Uncorrected energy (eV/atom): -5.7312


# 8
SeCl2: optimized geometry, PBEsol.

a = 5.4634 Å, b = 5.5680 Å, c = 5.4634 Å
α = 119.38°, β = 90.00°, γ = 119.38°
Sites, in units of the cell vectors:
Se1 0.0000 0.0000 0.0000
Cl1 0.7164 0.4328 0.7164
Cl2 0.2836 0.5672 0.2836

Space group: I4/mmm
Magnetic moment (μB/f.u.): 2.00
Uncorrected energy (eV/atom): -2.4221